Entry 1:
The following is a DFT calculation (PBE) of InTcRh4 after structural relaxation.

## Properties
- ΔH_f (0 K): 0.238 eV/atom
- Calculated total energy: -6.847 eV/atom

Unit cell a=5.144 b=5.144 c=5.144 alpha=60.00 beta=60.00 gamma=60.00
Fractional positions:
In1 0.000 0.000 0.000
Tc1 0.250 0.250 0.250
Rh1 0.125 0.625 0.625
Rh2 0.625 0.125 0.625
Rh3 0.625 0.625 0.125
Rh4 0.625 0.625 0.625

=====

Entry 2:
The following is a DFT calculation (PBE) of TbY7Ho5 after structural relaxation.

## Properties
- ΔH_f (0 K): 0.246 eV/atom
- Calculated total energy: -5.352 eV/atom

Unit cell a=8.696 b=8.696 c=8.696 alpha=134.92 beta=100.22 gamma=96.69
Fractional positions:
Tb1 0.000 0.000 0.000
Y1 0.230 0.562 0.669
Y2 0.305 0.305 0.000
Y3 0.387 0.061 0.326
Y4 0.616 0.616 0.000
Y5 0.735 0.061 0.674
Y6 0.810 0.310 0.500
Y7 0.893 0.562 0.331
Ho1 0.037 0.042 0.460
Ho2 0.037 0.577 0.996
Ho3 0.315 0.815 0.500
Ho4 0.582 0.042 0.004
Ho5 0.582 0.577 0.540

=====

Entry 3:
The following is a DFT calculation (PBE) of Rb2AlGeTe4 after structural relaxation.

## Properties
- Calculated total energy: -3.465 eV/atom

Unit cell a=14.995 b=13.340 c=8.347 alpha=84.13 beta=62.25 gamma=33.62
Fractional positions:
Rb1 0.059 0.059 0.691
Rb2 0.309 0.309 0.941
Rb3 0.691 0.691 0.059
Rb4 0.941 0.941 0.309
Al1 0.125 0.125 0.125
Al2 0.875 0.875 0.875
Ge1 0.375 0.375 0.375
Ge2 0.625 0.625 0.625
Te1 0.043 0.321 0.404
Te2 0.268 0.596 0.679
Te3 0.321 0.043 0.732
Te4 0.404 0.732 0.043
Te5 0.596 0.268 0.957
Te6 0.679 0.957 0.268
Te7 0.732 0.404 0.321
Te8 0.957 0.679 0.596

=====

Entry 4:
The following is a DFT calculation (PBE) of PuCo2I8 after structural relaxation.

## Properties
- Calculated total energy: -4.125 eV/atom

Unit cell a=8.610 b=8.610 c=6.931 alpha=91.19 beta=91.19 gamma=86.81
Fractional positions:
Pu1 0.000 0.000 0.000
Co1 0.201 0.201 0.644
Co2 0.799 0.799 0.356
I1 0.074 0.715 0.242
I2 0.200 0.200 0.272
I3 0.285 0.926 0.758
I4 0.391 0.391 0.752
I5 0.609 0.609 0.248
I6 0.715 0.074 0.242
I7 0.800 0.800 0.728
I8 0.926 0.285 0.758

=====

Number 1: theoretical density 10.8 g/cm³. Number 2: theoretical density 6.2 g/cm³. Number 3: theoretical density 3.9 g/cm³. Number 4: theoretical density 4.5 g/cm³.